# 1
Tl2BAs5: relaxed, PBE.

Cell and atoms, written as CIF:
```
data_Tl2BAs5
_symmetry_space_group_name_H-M 'I 4 m m'
_symmetry_Int_Tables_number 107
_symmetry_space_group_name_Hall 'I 4 -2'
_cell_length_a 6.1273
_cell_length_b 6.1273
_cell_length_c 11.2782
_cell_angle_alpha 90.00
_cell_angle_beta 90.00
_cell_angle_gamma 90.00
loop_
_atom_site_label
_atom_site_type_symbol
_atom_site_fract_x
_atom_site_fract_y
_atom_site_fract_z
_atom_site_occupancy
Tl1 Tl 0.0000 0.5000 0.0000 1
B1 B 0.0000 0.0000 0.1202 1
As1 As 0.0000 0.0000 0.9391 1
As2 As 0.2052 0.2052 0.2390 1
```

Its total energy is -4.05 eV/atom. For the energy relative to the elements, the calculation gives 278 meV/atom. The volume is 423 Å³ per cell. For the total magnetization, the calculation gives 0.000 μB per formula unit.

***

# 2
La4YTa: relaxed, PBE.

Cell and atoms, written as CIF:
```
data_La4YTa
_symmetry_space_group_name_H-M 'F -4 3 m'
_symmetry_Int_Tables_number 216
_symmetry_space_group_name_Hall 'F -4 2 3'
_cell_length_a 9.1050
_cell_length_b 9.1050
_cell_length_c 9.1050
_cell_angle_alpha 90.00
_cell_angle_beta 90.00
_cell_angle_gamma 90.00
loop_
_atom_site_label
_atom_site_type_symbol
_atom_site_fract_x
_atom_site_fract_y
_atom_site_fract_z
_atom_site_occupancy
La1 La 0.1232 0.1232 0.1232 1
Y1 Y 0.0000 0.0000 0.5000 1
Ta1 Ta 0.2500 0.2500 0.7500 1
```

Its total energy is -5.65 eV/atom. For the energy relative to the elements, the calculation gives 689 meV/atom. The volume is 755 Å³ per cell. For the total magnetization, the calculation gives 1.394 μB per formula unit.